Entry 1:
Computed, not measured: a geometry-optimized Al2RuRh structure at the PBE level of DFT.

a b c (Å): 4.2271 4.2271 3.0254
angles (deg): 90.00 90.00 90.00
Last column: nearest neighbours and their distance in Å.
Space group P4/mmm (No. 123)
Asymmetric unit:
Al  0.0000  0.5000  0.0000 (multiplicity 2)  4 Ru 2.60, 4 Rh 2.60
Ru  0.0000  0.0000  0.5000 (multiplicity 1)  8 Al 2.60
Rh  0.5000  0.5000  0.5000 (multiplicity 1)  8 Al 2.60

Values from the calculation:
Crystal system ... tetragonal
Fermi-level density of states ... 1.889 states/eV per cell
Energy relative to the lowest polymorph listed for this composition ... 0.004 eV per atom


Entry 2:
Computed, not measured: a geometry-optimized AlRuRh structure at the PBE level of DFT.

a b c (Å): 2.7720 2.7720 6.3245
angles (deg): 90.00 90.00 120.00
Last column: nearest neighbours and their distance in Å.
Space group P3m1 (No. 156)
Asymmetric unit:
Al  0.0000  0.0000  0.0000 (multiplicity 1)  3 Rh 2.59, 3 Ru 2.62, 6 Al 2.77
Ru  0.3333  0.6667  0.6715 (multiplicity 1)  3 Al 2.62, 3 Rh 2.73, 6 Ru 2.77
Rh  0.6667  0.3333  0.3223 (multiplicity 1)  3 Al 2.59, 3 Ru 2.73, 6 Rh 2.77

Values from the calculation:
Crystal system ... trigonal
Fermi-level density of states ... 2.138 states/eV per cell
Energy relative to the lowest polymorph listed for this composition ... 0.089 eV per atom


Entry 3:
Computed, not measured: a geometry-optimized Al2RuRh structure at the PBE level of DFT.

a b c (Å): 8.1263 2.8748 4.9727
angles (deg): 90.00 101.66 90.00
Last column: nearest neighbours and their distance in Å.
Space group C2/m (No. 12)
Asymmetric unit:
Al  0.2495  0.0000  0.2462 (multiplicity 4)  3 Ru 2.58, 3 Rh 2.60, 4 Al 2.84-2.87
Ru  0.0000  0.5000  0.0000 (multiplicity 2)  6 Al 2.58, 4 Rh 2.87, 2 Ru 2.87
Rh  0.0000  0.0000  0.5000 (multiplicity 2)  6 Al 2.60, 4 Ru 2.87, 2 Rh 2.87

Values from the calculation:
Crystal system ... monoclinic
Fermi-level density of states ... 5.231 states/eV per cell
Energy relative to the lowest polymorph listed for this composition ... 0.376 eV per atom


Entry 4:
Computed, not measured: a geometry-optimized Al2Ru2Rh structure at the PBE level of DFT.

a b c (Å): 6.8830 6.8830 2.9765
angles (deg): 90.00 90.00 90.00
Last column: nearest neighbours and their distance in Å.
Space group P4/mbm (No. 127)
Asymmetric unit:
Al  0.1364  0.3636  0.0000 (multiplicity 4)  6 Ru 2.45-2.55, 1 Al 2.66, 2 Rh 2.67
Ru  0.1634  0.6634  0.5000 (multiplicity 4)  6 Al 2.45-2.55
Rh  0.0000  0.0000  0.0000 (multiplicity 2)  4 Al 2.67, 8 Ru 2.97, 2 Rh 2.98

Values from the calculation:
Crystal system ... tetragonal
Fermi-level density of states ... 10.041 states/eV per cell
E_tot ... -7.01 eV per atom


Entry 5:
Computed, not measured: a geometry-optimized Al2RuRh structure at the PBE level of DFT.

a b c (Å): 5.9991 5.9991 5.9991
angles (deg): 90.00 90.00 90.00
Last column: nearest neighbours and their distance in Å.
Space group Fm-3m (No. 225)
Asymmetric unit:
Al  0.2500  0.2500  0.2500 (multiplicity 8)  4 Rh 2.60, 4 Ru 2.60
Ru  0.0000  0.0000  0.0000 (multiplicity 4)  8 Al 2.60
Rh  0.0000  0.0000  0.5000 (multiplicity 4)  8 Al 2.60

Values from the calculation:
Crystal system ... cubic
Fermi-level density of states ... 5.236 states/eV per cell
Energy relative to the lowest polymorph listed for this composition ... 0.000 eV per atom


Entry 6:
Computed, not measured: a geometry-optimized Al3RuRh structure at the PBE level of DFT.

a b c (Å): 4.5536 4.5536 4.5536
angles (deg): 90.00 90.00 90.00
Last column: nearest neighbours and their distance in Å.
Space group Pm-3m (No. 221)
Asymmetric unit:
Al  0.0000  0.0000  0.5000 (multiplicity 3)  2 Ru 2.28
Ru  0.0000  0.0000  0.0000 (multiplicity 1)  6 Al 2.28
Rh  0.5000  0.5000  0.5000 (multiplicity 1)  12 Al 3.22

Values from the calculation:
Crystal system ... cubic
Fermi-level density of states ... 2.158 states/eV per cell
Energy relative to the lowest polymorph listed for this composition ... 0.000 eV per atom